# 1
# LiLaBe2 PBEsol relaxed
# Total magnetization, Bohr magnetons per cell: 0.15
# ΔE_f, kJ per mole of atoms: 39
# E, eV/f.u.: -13.7
data_LiLaBe2
_cell_length_a 2.846
_cell_length_b 4.144
_cell_length_c 5.837
_cell_angle_alpha 90.00
_cell_angle_beta 103.55
_cell_angle_gamma 90.00
_symmetry_space_group_name_H-M 'P 1 2/m 1'
_symmetry_Int_Tables_number 10
_symmetry_space_group_name_Hall '-P 2y'
loop_
_atom_site_label
_atom_site_fract_x
_atom_site_fract_y
_atom_site_fract_z
Li1 0.000 0.000 0.000
La1 0.500 0.000 0.500
Be1 0.200 0.500 0.846

# 2
# Ca2ReTcB PBEsol relaxed
# Total magnetization, Bohr magnetons per cell: 0.00
# ΔE_f, kJ per mole of atoms: 172
# E, eV/f.u.: -27.0
data_Ca2ReTcB
_cell_length_a 5.514
_cell_length_b 5.514
_cell_length_c 4.445
_cell_angle_alpha 90.00
_cell_angle_beta 90.00
_cell_angle_gamma 90.00
_symmetry_space_group_name_H-M 'P 4/m m m'
_symmetry_Int_Tables_number 123
_symmetry_space_group_name_Hall '-P 4 2'
loop_
_atom_site_label
_atom_site_fract_x
_atom_site_fract_y
_atom_site_fract_z
Ca1 0.000 0.500 0.000
Re1 0.000 0.000 0.000
Tc1 0.000 0.000 0.500
B1 0.500 0.500 0.500

# 3
# SrCa2Pb2 PBEsol relaxed
# Total magnetization, Bohr magnetons per cell: 0.00
# ΔE_f, kJ per mole of atoms: -50
# E, eV/f.u.: -16.7
data_SrCa2Pb2
_cell_length_a 9.397
_cell_length_b 9.397
_cell_length_c 3.673
_cell_angle_alpha 90.00
_cell_angle_beta 90.00
_cell_angle_gamma 90.00
_symmetry_space_group_name_H-M 'P 4/m b m'
_symmetry_Int_Tables_number 127
_symmetry_space_group_name_Hall '-P 4 2ab'
loop_
_atom_site_label
_atom_site_fract_x
_atom_site_fract_y
_atom_site_fract_z
Sr1 0.000 0.000 0.000
Ca1 0.130 0.370 0.500
Pb1 0.169 0.669 0.000

# 4
# ErAgS2 PBEsol relaxed
# Total magnetization, Bohr magnetons per cell: 0.00
# E, eV/f.u.: -22.3
data_ErAgS2
_cell_length_a 5.300
_cell_length_b 5.300
_cell_length_c 11.738
_cell_angle_alpha 90.00
_cell_angle_beta 90.00
_cell_angle_gamma 90.00
_symmetry_space_group_name_H-M 'I 41 m d'
_symmetry_Int_Tables_number 109
_symmetry_space_group_name_Hall 'I 4bw -2'
loop_
_atom_site_label
_atom_site_fract_x
_atom_site_fract_y
_atom_site_fract_z
Er1 0.000 0.000 0.000
Ag1 0.000 0.000 0.546
S1 0.000 0.000 0.228
S2 0.000 0.000 0.769

# 5
# LiAsAu PBEsol relaxed
# Total magnetization, Bohr magnetons per cell: 0.00
# ΔE_f, kJ per mole of atoms: -29
# E, eV/f.u.: -11.9
data_LiAsAu
_cell_length_a 3.162
_cell_length_b 3.886
_cell_length_c 7.849
_cell_angle_alpha 90.00
_cell_angle_beta 90.00
_cell_angle_gamma 90.00
_symmetry_space_group_name_H-M 'I m m 2'
_symmetry_Int_Tables_number 44
_symmetry_space_group_name_Hall 'I 2 -2'
loop_
_atom_site_label
_atom_site_fract_x
_atom_site_fract_y
_atom_site_fract_z
Li1 0.000 0.000 0.000
As1 0.000 0.000 0.671
Au1 0.000 0.000 0.343

# 6
# NaTbCl4 PBEsol relaxed
# Total magnetization, Bohr magnetons per cell: 0.00
# E, eV/f.u.: -27.2
data_NaTbCl4
_cell_length_a 6.540
_cell_length_b 6.676
_cell_length_c 6.944
_cell_angle_alpha 88.90
_cell_angle_beta 87.86
_cell_angle_gamma 78.58
_symmetry_space_group_name_H-M 'P -1'
_symmetry_Int_Tables_number 2
_symmetry_space_group_name_Hall '-P 1'
loop_
_atom_site_label
_atom_site_fract_x
_atom_site_fract_y
_atom_site_fract_z
Na1 0.227 0.192 0.042
Tb1 0.209 0.700 0.445
Cl1 0.050 0.497 0.744
Cl2 0.091 0.996 0.711
Cl3 0.394 0.787 0.130
Cl4 0.431 0.311 0.383

# 7
# ErAl10Fe2 PBEsol relaxed
# Total magnetization, Bohr magnetons per cell: 0.00
# ΔE_f, kJ per mole of atoms: -35
# E, eV/f.u.: -68.5
data_ErAl10Fe2
_cell_length_a 8.844
_cell_length_b 10.045
_cell_length_c 8.869
_cell_angle_alpha 90.00
_cell_angle_beta 90.00
_cell_angle_gamma 90.00
_symmetry_space_group_name_H-M 'C m c m'
_symmetry_Int_Tables_number 63
_symmetry_space_group_name_Hall '-C 2c 2'
loop_
_atom_site_label
_atom_site_fract_x
_atom_site_fract_y
_atom_site_fract_z
Er1 0.000 0.126 0.250
Al1 0.000 0.157 0.597
Al2 0.000 0.374 0.049
Al3 0.152 0.371 0.750
Al4 0.225 0.359 0.250
Al5 0.227 0.000 0.000
Fe1 0.250 0.250 0.000

# 8
# Ni2TeIr PBEsol relaxed
# Energy relative to the lowest polymorph listed for this composition, eV/atom: 0.000
# Total magnetization, Bohr magnetons per cell: 0.00
# E, eV/f.u.: -24.7
data_Ni2TeIr
_cell_length_a 3.246
_cell_length_b 3.246
_cell_length_c 5.351
_cell_angle_alpha 90.00
_cell_angle_beta 90.00
_cell_angle_gamma 90.00
_symmetry_space_group_name_H-M 'P 4 m m'
_symmetry_Int_Tables_number 99
_symmetry_space_group_name_Hall 'P 4 -2'
loop_
_atom_site_label
_atom_site_fract_x
_atom_site_fract_y
_atom_site_fract_z
Ni1 0.000 0.000 0.000
Ni2 0.500 0.500 0.215
Te1 0.000 0.000 0.467
Ir1 0.500 0.500 0.753

# 9
# KTlAs2 PBEsol relaxed
# Energy relative to the lowest polymorph listed for this composition, eV/atom: 0.098
# Total magnetization, Bohr magnetons per cell: 0.00
# ΔE_f, kJ per mole of atoms: -10
# E, eV/f.u.: -14.4
data_KTlAs2
_cell_length_a 3.731
_cell_length_b 3.731
_cell_length_c 7.581
_cell_angle_alpha 90.00
_cell_angle_beta 90.00
_cell_angle_gamma 90.00
_symmetry_space_group_name_H-M 'P 4 m m'
_symmetry_Int_Tables_number 99
_symmetry_space_group_name_Hall 'P 4 -2'
loop_
_atom_site_label
_atom_site_fract_x
_atom_site_fract_y
_atom_site_fract_z
K1 0.000 0.000 0.000
Tl1 0.500 0.500 0.327
As1 0.000 0.000 0.580
As2 0.500 0.500 0.693

# 10
# NdSiRu PBEsol relaxed
# Total magnetization, Bohr magnetons per cell: 0.00
# E, eV/f.u.: -23.4
data_NdSiRu
_cell_length_a 4.173
_cell_length_b 4.173
_cell_length_c 6.857
_cell_angle_alpha 90.00
_cell_angle_beta 90.00
_cell_angle_gamma 90.00
_symmetry_space_group_name_H-M 'P 4/n m m'
_symmetry_Int_Tables_number 129
loop_
_symmetry_equiv_pos_as_xyz
'x,y,z'
'-x,-y,-z'
'-y+1/2,x,z'
'y+1/2,-x,-z'
'-x+1/2,-y+1/2,z'
'x+1/2,y+1/2,-z'
'y,-x+1/2,z'
'-y,x+1/2,-z'
'x+1/2,-y,-z'
'-x+1/2,y,z'
'-y,-x,-z'
'y,x,z'
'-x,y+1/2,-z'
'x,-y+1/2,z'
'y+1/2,x+1/2,-z'
'-y+1/2,-x+1/2,z'
loop_
_atom_site_label
_atom_site_fract_x
_atom_site_fract_y
_atom_site_fract_z
Nd1 0.250 0.250 0.177
Si1 0.250 0.250 0.676
Ru1 0.250 0.750 0.500

# 11
# Cu2OF2 PBEsol relaxed
# Energy relative to the lowest polymorph listed for this composition, eV/atom: 0.015
# Total magnetization, Bohr magnetons per cell: 6.95
# E, eV/f.u.: -23.0
data_Cu2OF2
_cell_length_a 5.632
_cell_length_b 5.632
_cell_length_c 9.958
_cell_angle_alpha 90.00
_cell_angle_beta 90.00
_cell_angle_gamma 90.00
_symmetry_space_group_name_H-M 'I 41/a m d'
_symmetry_Int_Tables_number 141
loop_
_symmetry_equiv_pos_as_xyz
'x,y,z'
'-x,-y,-z'
'-y+1/4,x+3/4,z+1/4'
'y+1/4,-x+3/4,-z+1/4'
'-x+1/2,-y,z+1/2'
'x+1/2,y,-z+1/2'
'y+1/4,-x+1/4,z+3/4'
'-y+1/4,x+1/4,-z+3/4'
'x,-y,-z'
'-x,y,z'
'-y+1/4,-x+1/4,-z+3/4'
'y+1/4,x+1/4,z+3/4'
'-x+1/2,y,-z+1/2'
'x+1/2,-y,z+1/2'
'y+1/4,x+3/4,-z+1/4'
'-y+1/4,-x+3/4,z+1/4'
'x+1/2,y+1/2,z+1/2'
'-x+1/2,-y+1/2,-z+1/2'
'-y+3/4,x+1/4,z+3/4'
'y+3/4,-x+1/4,-z+3/4'
'-x,-y+1/2,z'
'x,y+1/2,-z'
'y+3/4,-x+3/4,z+1/4'
'-y+3/4,x+3/4,-z+1/4'
'x+1/2,-y+1/2,-z+1/2'
'-x+1/2,y+1/2,z+1/2'
'-y+3/4,-x+3/4,-z+1/4'
'y+3/4,x+3/4,z+1/4'
'-x,y+1/2,-z'
'x,-y+1/2,z'
'y+3/4,x+1/4,-z+3/4'
'-y+3/4,-x+1/4,z+3/4'
loop_
_atom_site_label
_atom_site_fract_x
_atom_site_fract_y
_atom_site_fract_z
Cu1 0.000 0.000 0.000
O1 0.000 0.250 0.875
F1 0.000 0.250 0.132

# 12
# RbBaP2W PBEsol relaxed
# Total magnetization, Bohr magnetons per cell: 0.00
# ΔE_f, kJ per mole of atoms: 22
# E, eV/f.u.: -27.4
data_RbBaP2W
_cell_length_a 4.825
_cell_length_b 4.825
_cell_length_c 5.616
_cell_angle_alpha 90.00
_cell_angle_beta 90.00
_cell_angle_gamma 90.00
_symmetry_space_group_name_H-M 'P 4/m m m'
_symmetry_Int_Tables_number 123
_symmetry_space_group_name_Hall '-P 4 2'
loop_
_atom_site_label
_atom_site_fract_x
_atom_site_fract_y
_atom_site_fract_z
Rb1 0.000 0.000 0.000
Ba1 0.500 0.500 0.000
P1 0.000 0.500 0.500
W1 0.500 0.500 0.500

# 13
# Nd3In4Ge PBEsol relaxed
# Total magnetization, Bohr magnetons per cell: 0.00
# ΔE_f, kJ per mole of atoms: -61
# E, eV/f.u.: -37.4
data_Nd3In4Ge
_cell_length_a 8.378
_cell_length_b 8.378
_cell_length_c 11.719
_cell_angle_alpha 90.00
_cell_angle_beta 90.00
_cell_angle_gamma 90.00
_symmetry_space_group_name_H-M 'I 4/m c m'
_symmetry_Int_Tables_number 140
_symmetry_space_group_name_Hall '-I 4 2c'
loop_
_atom_site_label
_atom_site_fract_x
_atom_site_fract_y
_atom_site_fract_z
Nd1 0.000 0.000 0.250
Nd2 0.163 0.337 0.000
In1 0.144 0.356 0.320
Ge1 0.000 0.000 0.000

# 14
# CrInW2 PBEsol relaxed
# Total magnetization, Bohr magnetons per cell: 0.00
# ΔE_f, kJ per mole of atoms: 39
# E, eV/f.u.: -39.2
data_CrInW2
_cell_length_a 2.912
_cell_length_b 2.912
_cell_length_c 7.457
_cell_angle_alpha 90.00
_cell_angle_beta 90.00
_cell_angle_gamma 90.00
_symmetry_space_group_name_H-M 'P 4/m m m'
_symmetry_Int_Tables_number 123
_symmetry_space_group_name_Hall '-P 4 2'
loop_
_atom_site_label
_atom_site_fract_x
_atom_site_fract_y
_atom_site_fract_z
Cr1 0.000 0.000 0.000
In1 0.000 0.000 0.500
W1 0.500 0.500 0.202

# 15
# Mg2InRh PBEsol relaxed
# Total magnetization, Bohr magnetons per cell: 0.00
# ΔE_f, kJ per mole of atoms: -29
# E, eV/f.u.: -15.7
data_Mg2InRh
_cell_length_a 3.686
_cell_length_b 4.327
_cell_length_c 8.819
_cell_angle_alpha 90.00
_cell_angle_beta 90.00
_cell_angle_gamma 90.00
_symmetry_space_group_name_H-M 'I m m m'
_symmetry_Int_Tables_number 71
_symmetry_space_group_name_Hall '-I 2 2'
loop_
_atom_site_label
_atom_site_fract_x
_atom_site_fract_y
_atom_site_fract_z
Mg1 0.000 0.000 0.234
In1 0.000 0.500 0.000
Rh1 0.000 0.500 0.500

# 16
# LaCoRe PBEsol relaxed
# Energy relative to the lowest polymorph listed for this composition, eV/atom: 0.000
# Total magnetization, Bohr magnetons per cell: 0.00
# ΔE_f, kJ per mole of atoms: 21
# E, eV/f.u.: -25.8
data_LaCoRe
_cell_length_a 3.9750
_cell_length_b 3.9750
_cell_length_c 4.4888
_cell_angle_alpha 90.00
_cell_angle_beta 90.00
_cell_angle_gamma 120.00
_symmetry_space_group_name_H-M 'P -6 m 2'
_symmetry_Int_Tables_number 187
_symmetry_space_group_name_Hall 'P -6 2'
loop_
_atom_site_label
_atom_site_fract_x
_atom_site_fract_y
_atom_site_fract_z
La1 0.0000 0.0000 0.0000
Co1 0.6667 0.3333 0.5000
Re1 0.3333 0.6667 0.5000

# 17
# Li2MnRh PBEsol relaxed
# Energy relative to the lowest polymorph listed for this composition, eV/atom: 0.000
# Total magnetization, Bohr magnetons per cell: 7.33
# ΔE_f, kJ per mole of atoms: 5
# E, eV/f.u.: -21.6
data_Li2MnRh
_cell_length_a 2.895
_cell_length_b 4.157
_cell_length_c 8.816
_cell_angle_alpha 90.00
_cell_angle_beta 90.00
_cell_angle_gamma 90.00
_symmetry_space_group_name_H-M 'I m m m'
_symmetry_Int_Tables_number 71
_symmetry_space_group_name_Hall '-I 2 2'
loop_
_atom_site_label
_atom_site_fract_x
_atom_site_fract_y
_atom_site_fract_z
Li1 0.000 0.000 0.242
Mn1 0.000 0.500 0.000
Rh1 0.000 0.500 0.500

# 18
# YSbTe2I PBEsol relaxed
# Energy relative to the lowest polymorph listed for this composition, eV/atom: 0.589
# Total magnetization, Bohr magnetons per cell: 0.00
# E, eV/f.u.: -17.8
data_YSbTe2I
_cell_length_a 5.613
_cell_length_b 5.613
_cell_length_c 5.676
_cell_angle_alpha 90.00
_cell_angle_beta 90.00
_cell_angle_gamma 90.00
_symmetry_space_group_name_H-M 'P 4/m m m'
_symmetry_Int_Tables_number 123
_symmetry_space_group_name_Hall '-P 4 2'
loop_
_atom_site_label
_atom_site_fract_x
_atom_site_fract_y
_atom_site_fract_z
Y1 0.000 0.000 0.000
Sb1 0.500 0.500 0.000
Te1 0.000 0.500 0.500
I1 0.500 0.500 0.500

# 19
# MnNi2Ru PBEsol relaxed
# Total magnetization, Bohr magnetons per cell: 8.62
# ΔE_f, kJ per mole of atoms: 23
# E, eV/f.u.: -31.3
data_MnNi2Ru
_cell_length_a 5.730
_cell_length_b 5.730
_cell_length_c 5.730
_cell_angle_alpha 90.00
_cell_angle_beta 90.00
_cell_angle_gamma 90.00
_symmetry_space_group_name_H-M 'F m -3 m'
_symmetry_Int_Tables_number 225
_symmetry_space_group_name_Hall '-F 4 2 3'
loop_
_atom_site_label
_atom_site_fract_x
_atom_site_fract_y
_atom_site_fract_z
Mn1 0.000 0.000 0.000
Ni1 0.250 0.250 0.250
Ru1 0.000 0.000 0.500

# 20
# SiAu2Cl PBEsol relaxed
# Energy relative to the lowest polymorph listed for this composition, eV/atom: 0.000
# Total magnetization, Bohr magnetons per cell: 0.00
# E, eV/f.u.: -15.1
data_SiAu2Cl
_cell_length_a 2.890
_cell_length_b 4.560
_cell_length_c 10.940
_cell_angle_alpha 90.00
_cell_angle_beta 90.00
_cell_angle_gamma 90.00
_symmetry_space_group_name_H-M 'I m m m'
_symmetry_Int_Tables_number 71
_symmetry_space_group_name_Hall '-I 2 2'
loop_
_atom_site_label
_atom_site_fract_x
_atom_site_fract_y
_atom_site_fract_z
Si1 0.000 0.000 0.000
Au1 0.000 0.500 0.301
Cl1 0.000 0.000 0.500